## Be2AlBr (GGA-PBEsol)

Data for a relaxed structure of Be2AlBr.

Cell lengths 4.0560, 4.0359, 5.4787 Å; angles 73.63, 68.27, 59.84 degrees
Fractional positions:
Be  0.8134  0.3307  0.0425
Be  0.1866  0.6693  0.9575
Al  0.5000  0.0000  0.0000
Br  0.5000  0.5000  0.5000

Results
E_form (uncorrected) = 0.104 eV/atom
distance to the lowest polymorph of the same formula = 0.0 meV per atom
size of the total moment = 0.0 μB per cell
Fermi-level density of states = 0.4 states/eV/f.u.

***

## Be2AlBr (GGA-PBEsol)

Data for a relaxed structure of Be2AlBr.

Cell lengths 3.0010, 3.9897, 5.3715 Å; angles 90.00, 90.00, 90.00 degrees
Fractional positions:
Be  0.0000  0.0000  0.0000
Be  0.5000  0.0000  0.5000
Al  0.0000  0.5000  0.5000
Br  0.5000  0.5000  0.0000

Results
E_form (uncorrected) = 0.739 eV/atom
distance to the lowest polymorph of the same formula = 634.8 meV per atom
size of the total moment = 0.0 μB per cell
Fermi-level density of states = 1.9 states/eV/f.u.

***

## CaBe2AlBr (GGA-PBEsol)

Data for a relaxed structure of CaBe2AlBr.

Cell lengths 5.4042, 5.4042, 6.0403 Å; angles 90.00, 90.00, 90.00 degrees
Fractional positions:
Be  0.0000  0.5000  0.0000
Be  0.5000  0.0000  0.0000
Ca  0.0000  0.0000  0.0000
Al  0.0000  0.0000  0.5000
Br  0.5000  0.5000  0.5000

Results
E_form (uncorrected) = 1.525 eV/atom
size of the total moment = 0.0 μB per cell
Fermi-level density of states = 3.2 states/eV/f.u.

***

## Na8BeAl4Si7Br2O24 (GGA-PBEsol)

Data for a relaxed structure of Na8BeAl4Si7Br2O24.

Cell lengths 8.8829, 8.8829, 9.0424 Å; angles 90.00, 90.00, 90.00 degrees
Site moments in Bohr magnetons follow the coordinates.
Fractional positions:
Be  0.0000  0.0000  0.5000  0.00
Na  0.1884  0.3181  0.0441  0.00
Na  0.6819  0.1884  0.9559  0.00
Na  0.3181  0.8116  0.9559  0.00
Na  0.8116  0.6819  0.0441  0.00
Na  0.8271  0.7059  0.4570  0.00
Na  0.2941  0.8271  0.5430  0.00
Na  0.7059  0.1729  0.5430  0.00
Na  0.1729  0.2941  0.4570  0.00
Al  0.7500  0.4916  0.7504  0.00
Al  0.5084  0.7500  0.2496  0.00
Al  0.4916  0.2500  0.2496  0.00
Al  0.2500  0.5084  0.7504  0.00
O  0.3559  0.4496  0.9014  0.00
O  0.8419  0.3254  0.8055  0.00
O  0.1581  0.6746  0.8055  0.00
O  0.9496  0.8579  0.8966  0.00
O  0.6441  0.5504  0.9014  0.00
O  0.5504  0.3559  0.0986  0.00
O  0.1421  0.9496  0.1034  0.00
O  0.0504  0.1421  0.8966  0.00
O  0.8579  0.0504  0.1034  0.00
O  0.4496  0.6441  0.0986  0.00
O  0.6746  0.8419  0.1945  0.00
O  0.8557  0.9573  0.3972  0.00
O  0.3599  0.8716  0.2886  0.00
O  0.6401  0.1284  0.2886  0.00
O  0.3254  0.1581  0.1945  0.00
O  0.4399  0.3576  0.4024  0.00
O  0.1443  0.0427  0.3972  0.00
O  0.0427  0.8557  0.6028  0.00
O  0.6424  0.4399  0.5976  0.00
O  0.5601  0.6424  0.4024  0.00
O  0.9573  0.1443  0.6028  0.00
O  0.3576  0.5601  0.5976  0.00
O  0.1284  0.3599  0.7114  0.00
O  0.8716  0.6401  0.7114  0.00
Si  0.0000  0.0000  0.0000  0.00
Si  0.5000  0.5000  0.0000  0.00
Si  0.7590  0.9941  0.2533  0.00
Si  0.2410  0.0059  0.2533  0.00
Si  0.5000  0.5000  0.5000  0.00
Si  0.9941  0.2410  0.7467  0.00
Si  0.0059  0.7590  0.7467  0.00
Br  0.5000  0.0000  0.7564  0.07
Br  0.0000  0.5000  0.2436  0.07

Results
E_form (uncorrected) = -2.599 eV/atom
size of the total moment = 0.3 μB per cell
Fermi-level density of states = 0.0 states/eV/f.u.

***

Which of these has the lowest E_form (uncorrected)? Na8BeAl4Si7Br2O24

***

What is the Fermi-level density of states in the fourth record? 0.0 states/eV/f.u.

***

Which of these has the highest Fermi-level density of states? CaBe2AlBr

***

What is the formula in the second record? Be2AlBr